Record 1
Density functional theory data (GGA-PBE) for a relaxed Li2Mg2As crystal.

Output
Spin magnetization = 0.00 μB per cell
Formation enthalpy at 0 K = -234 meV per atom
DOS at the Fermi energy = 4.9 states/eV/cell

a = 6.4618 Å, b = 6.4618 Å, c = 4.4487 Å
α = 90.00°, β = 90.00°, γ = 90.00°
Closest atoms and distances in Å follow each position.
Fractional positions:
1 Li 0.1425 0.3575 0.0000  2 As 2.49, 1 Li 2.61
2 Li 0.3575 0.8575 0.0000  2 As 2.49, 1 Li 2.61
3 Li 0.6425 0.1425 0.0000  2 As 2.49, 1 Li 2.61
4 Li 0.8575 0.6425 0.0000  2 As 2.49, 1 Li 2.61
5 Mg 0.1720 0.6720 0.5000  6 Li 2.80-3.02
6 Mg 0.3280 0.1720 0.5000  6 Li 2.80-3.02
7 Mg 0.6720 0.8280 0.5000  6 Li 2.80-3.02
8 Mg 0.8280 0.3280 0.5000  6 Li 2.80-3.02
9 As 0.0000 0.0000 0.0000  4 Li 2.49
10 As 0.5000 0.5000 0.0000  4 Li 2.49


Record 2
Density functional theory data (GGA-PBE) for a relaxed LiMgAs2 crystal.

Output
Spin magnetization = 0.00 μB per cell
Formation enthalpy at 0 K = -73 meV per atom
DOS at the Fermi energy = 2.1 states/eV/cell

a = 4.7418 Å, b = 4.7418 Å, c = 4.7418 Å
α = 60.00°, β = 60.00°, γ = 60.00°
Closest atoms and distances in Å follow each position.
Fractional positions:
1 Li 0.0000 0.0000 0.0000  4 As 2.90, 4 Mg 2.90
2 Mg 0.2500 0.2500 0.2500  4 As 2.90, 4 Li 2.90
3 As 0.5000 0.5000 0.5000  4 As 2.90, 4 Mg 2.90
4 As 0.7500 0.7500 0.7500  4 As 2.90, 4 Li 2.90


Record 3
Density functional theory data (GGA-PBE) for a relaxed LiMgAs2 crystal.

Output
Spin magnetization = 0.00 μB per cell
Formation enthalpy at 0 K = -172 meV per atom
DOS at the Fermi energy = 2.1 states/eV/cell

a = 3.7237 Å, b = 3.7237 Å, c = 5.4362 Å
α = 90.00°, β = 90.00°, γ = 90.00°
Closest atoms and distances in Å follow each position.
Fractional positions:
1 Li 0.0000 0.0000 0.0000  6 As 2.60-2.84
2 Mg 0.5000 0.5000 0.3264  6 As 2.70-2.84
3 As 0.0000 0.0000 0.5218  2 Li 2.60-2.84, 4 Mg 2.84
4 As 0.5000 0.5000 0.8224  2 Mg 2.70-2.74, 4 Li 2.80


Record 4
Density functional theory data (GGA-PBE) for a relaxed LiMgAs2 crystal.

Output
Spin magnetization = 0.00 μB per cell
Formation enthalpy at 0 K = -356 meV per atom
DOS at the Fermi energy = 1.1 states/eV/cell

a = 4.9475 Å, b = 4.9475 Å, c = 3.0408 Å
α = 90.00°, β = 90.00°, γ = 103.51°
Closest atoms and distances in Å follow each position.
Fractional positions:
1 Li 0.0000 0.0000 0.0000  8 As 2.90, 2 Li 3.04, 2 Mg 3.06
2 Mg 0.5000 0.5000 0.0000  8 As 2.90, 2 Mg 3.04, 2 Li 3.06
3 As 0.0000 0.5000 0.5000  4 Li 2.90, 4 Mg 2.90, 4 As 3.04-3.06
4 As 0.5000 0.0000 0.5000  4 Li 2.90, 4 Mg 2.90, 4 As 3.04-3.06


Record 5
Density functional theory data (GGA-PBE) for a relaxed Li2Mg2As crystal.

Output
Spin magnetization = 0.00 μB per cell
Formation enthalpy at 0 K = -160 meV per atom
DOS at the Fermi energy = 3.2 states/eV/cell

a = 6.9080 Å, b = 6.9080 Å, c = 4.6205 Å
α = 90.00°, β = 90.00°, γ = 90.00°
Closest atoms and distances in Å follow each position.
Fractional positions:
1 Li 0.1583 0.3417 0.0000  6 Mg 3.00-3.12, 1 Li 3.09
2 Li 0.3417 0.8417 0.0000  6 Mg 3.00-3.12, 1 Li 3.09
3 Li 0.6583 0.1583 0.0000  6 Mg 3.00-3.12, 1 Li 3.09
4 Li 0.8417 0.6583 0.0000  6 Mg 3.00-3.12, 1 Li 3.09
5 Mg 0.1454 0.6454 0.5000  2 As 2.65, 1 Mg 2.84
6 Mg 0.3546 0.1454 0.5000  2 As 2.65, 1 Mg 2.84
7 Mg 0.6454 0.8546 0.5000  2 As 2.65, 1 Mg 2.84
8 Mg 0.8546 0.3546 0.5000  2 As 2.65, 1 Mg 2.84
9 As 0.0000 0.0000 0.5000  4 Mg 2.65
10 As 0.5000 0.5000 0.5000  4 Mg 2.65


Record 6
Density functional theory data (GGA-PBE) for a relaxed LiMgAs2 crystal.

Output
Spin magnetization = 0.00 μB per cell
Formation enthalpy at 0 K = -396 meV per atom
DOS at the Fermi energy = 0.9 states/eV/cell

a = 4.4887 Å, b = 4.4887 Å, c = 5.0428 Å
α = 104.29°, β = 104.29°, γ = 48.29°
Closest atoms and distances in Å follow each position.
Fractional positions:
1 Li 0.0000 0.0000 0.0000  6 As 2.57-2.74
2 Mg 0.5000 0.5000 0.5000  6 As 2.79-2.84, 4 Li 3.12
3 As 0.2507 0.2507 0.7841  3 Li 2.57-2.74, 3 Mg 2.79-2.84, 2 As 2.85
4 As 0.7493 0.7493 0.2159  3 Li 2.57-2.74, 3 Mg 2.79-2.84, 2 As 2.85


Record 7
Density functional theory data (GGA-PBE) for a relaxed LiMgAs2 crystal.

Output
Spin magnetization = 0.00 μB per cell
Formation enthalpy at 0 K = -337 meV per atom
DOS at the Fermi energy = 1.9 states/eV/cell

a = 8.2391 Å, b = 8.2391 Å, c = 8.2391 Å
α = 22.83°, β = 22.83°, γ = 22.83°
Closest atoms and distances in Å follow each position.
Fractional positions:
1 Li 0.0000 0.0000 0.0000  6 As 2.74
2 Mg 0.5000 0.5000 0.5000  6 As 2.76
3 As 0.2505 0.2505 0.2505  3 Li 2.74, 3 Mg 2.76
4 As 0.7495 0.7495 0.7495  3 Li 2.74, 3 Mg 2.76


Record 8
Density functional theory data (GGA-PBE) for a relaxed LiMgAs2 crystal.

Output
Spin magnetization = 0.00 μB per cell
Formation enthalpy at 0 K = -373 meV per atom
DOS at the Fermi energy = 1.1 states/eV/cell

a = 4.9262 Å, b = 4.9262 Å, c = 4.9262 Å
α = 129.20°, β = 126.48°, γ = 76.91°
Closest atoms and distances in Å follow each position.
Fractional positions:
1 Li 0.0000 0.0000 0.0000  8 As 2.86-2.94, 4 Mg 3.06
2 Mg 0.5000 0.5000 0.0000  8 As 2.86-2.94, 4 Li 3.06
3 As 0.2493 0.7493 0.5000  4 Li 2.86-2.94, 4 Mg 2.86-2.94, 4 As 3.06
4 As 0.7507 0.2507 0.5000  4 Li 2.86-2.94, 4 Mg 2.86-2.94, 4 As 3.06


Repeat the seventh record exactly.
Density functional theory data (GGA-PBE) for a relaxed LiMgAs2 crystal.

Output
Spin magnetization = 0.00 μB per cell
Formation enthalpy at 0 K = -337 meV per atom
DOS at the Fermi energy = 1.9 states/eV/cell

a = 8.2391 Å, b = 8.2391 Å, c = 8.2391 Å
α = 22.83°, β = 22.83°, γ = 22.83°
Closest atoms and distances in Å follow each position.
Fractional positions:
1 Li 0.0000 0.0000 0.0000  6 As 2.74
2 Mg 0.5000 0.5000 0.5000  6 As 2.76
3 As 0.2505 0.2505 0.2505  3 Li 2.74, 3 Mg 2.76
4 As 0.7495 0.7495 0.7495  3 Li 2.74, 3 Mg 2.76